Compound: Ba3NpFe2O9
Source: the Alexandria database
Functional: PBE+U
Structure: optimized geometry

Cell lengths 5.870, 5.870, 7.248 Å; angles 90.00, 90.00, 120.00 degrees
Sites, in units of the cell vectors:
Ba 0.667 0.333 0.315
Fe 0.333 0.667 0.149
O 0.666 0.833 0.333
O 0.500 0.000 0.000
O 0.167 0.833 0.333
O 0.167 0.334 0.333
O 0.833 0.666 0.667
Ba 0.000 0.000 0.000
O 0.000 0.500 0.000
O 0.833 0.167 0.667
Np 0.000 0.000 0.500
Fe 0.667 0.333 0.851
O 0.334 0.167 0.667
Ba 0.333 0.667 0.685
O 0.500 0.500 0.000

Calculated values
The value obtained for the total energy is -7.434 eV per atom.